# GGA-PBE PmTeI, optimized geometry
# * spin magnetization: 0.0 μB per formula unit
# * uncorrected formation energy: -1.23 eV per atom
# * symmetry: F-43m (216)
# * calculated volume: 37.31 Å³ per atom
data_PmTeI
_cell_length_a 5.4092
_cell_length_b 5.4092
_cell_length_c 5.4092
_cell_angle_alpha 60.00
_cell_angle_beta 60.00
_cell_angle_gamma 60.00
_space_group_name_H-M_alt 'P 1'
_space_group_IT_number 1
_space_group_name_Hall 'P 1'
loop_
_atom_site_label
_atom_site_type_symbol
_atom_site_fract_x
_atom_site_fract_y
_atom_site_fract_z
Pm1 Pm 0.2500 0.2500 0.2500
Te1 Te 0.0000 0.0000 0.0000
I1 I 0.5000 0.5000 0.5000